# 1
# CsSm2Sc GGA-PBE optimized geometry
data_CsSm2Sc
_space_group_name_H-M_alt 'R -3 m'
_space_group_IT_number 166
_space_group_name_Hall '-R 3 2"'
_cell_length_a 3.6309
_cell_length_b 3.6309
_cell_length_c 38.8402
_cell_angle_alpha 90.00
_cell_angle_beta 90.00
_cell_angle_gamma 120.00
loop_
_atom_site_label
_atom_site_type_symbol
_atom_site_fract_x
_atom_site_fract_y
_atom_site_fract_z
Cs1 Cs 0.0000 0.0000 0.0000
Sm1 Sm 0.0000 0.0000 0.0983
Sc1 Sc 0.0000 0.0000 0.5000
# Energy of formation from the pure elements, meV per atom: 339.4
# Final energy, eV/atom: -3.816
# DOS(E_F), states/eV per cell: 14.12



# 2
# CaLaBr2 GGA-PBE optimized geometry
data_CaLaBr2
_space_group_name_H-M_alt 'F -4 3 m'
_space_group_IT_number 216
_space_group_name_Hall 'F -4 2 3'
_cell_length_a 8.0302
_cell_length_b 8.0302
_cell_length_c 8.0302
_cell_angle_alpha 90.00
_cell_angle_beta 90.00
_cell_angle_gamma 90.00
loop_
_atom_site_label
_atom_site_type_symbol
_atom_site_fract_x
_atom_site_fract_y
_atom_site_fract_z
Ca1 Ca 0.0000 0.0000 0.0000
La1 La 0.2500 0.2500 0.7500
Br1 Br 0.0000 0.0000 0.5000
Br2 Br 0.2500 0.2500 0.2500
# Relative energy among the computed polymorphs, eV/atom: 0.837
# Final energy, eV/atom: -3.027
# Raw formation energy, meV/atom: -458
# DOS(E_F), states/eV per cell: 22.76